[1]
Computed, not measured: a relaxed Pm2PtAu2 crystal at the PBE level of DFT.

abc: 4.0043 5.7159 11.3407
angles: 92.92 79.83 69.50
Fractional positions:
Pm 0.6663 0.3300 0.3375
Pm 0.9334 0.2485 0.8847
Pm 0.3337 0.6700 0.6625
Pm 0.0666 0.7515 0.1153
Pt 0.6045 0.0949 0.6962
Pt 0.3955 0.9051 0.3038
Au 0.1039 0.2481 0.5442
Au 0.6526 0.8024 0.8924
Au 0.8961 0.7519 0.4558
Au 0.3474 0.1976 0.1076

## Properties
- magnetic moment (μB per formula unit) = 0.00
- density of states at the Fermi level (states/eV per cell) = 5.97
- formation energy from the elements (eV per atom) = -0.912
- energy above the most stable polymorph in this dataset (eV/atom) = 0.000

[2]
Computed, not measured: a relaxed Mg2GaHRh crystal at the PBE level of DFT.

abc: 4.4375 4.4375 3.5210
angles: 90.00 90.00 90.00
Fractional positions:
H 0.0000 0.0000 0.0000
Mg 0.0000 0.5000 0.0000
Mg 0.5000 0.0000 0.0000
Rh 0.0000 0.0000 0.5000
Ga 0.5000 0.5000 0.5000

## Properties
- magnetic moment (μB per formula unit) = 0.00
- density of states at the Fermi level (states/eV per cell) = 1.46
- energy above the most stable polymorph in this dataset (eV/atom) = 0.000

[3]
Computed, not measured: a relaxed MgNiGe2 crystal at the PBE level of DFT.

abc: 3.1225 3.1225 8.8989
angles: 79.90 79.90 60.00
Fractional positions:
Ni 0.5000 0.5000 0.5000
Ge 0.1037 0.1037 0.6890
Ge 0.8963 0.8963 0.3110
Mg 0.0000 0.0000 0.0000

## Properties
- magnetic moment (μB per formula unit) = 0.00
- density of states at the Fermi level (states/eV per cell) = 1.68
- formation energy from the elements (eV per atom) = 0.026

Look up the magnetic moment of the third one. 0.00 μB per formula unit

Number 1 is which compound? Pm2PtAu2

magnetic moment of number 1 (Pm2PtAu2)? 0.00 μB per formula unit